The following is a PBE calculation of LiTlIr2 after structural relaxation, from the Alexandria database.

a = 3.9593 Å, b = 3.9593 Å, c = 18.3745 Å
α = 90.00°, β = 90.00°, γ = 90.00°
Element x y z (fractional)
Li1 0.0000 0.0000 0.0000
Li2 0.0000 0.5000 0.2500
Li3 0.5000 0.0000 0.7500
Li4 0.5000 0.5000 0.5000
Tl1 0.0000 0.0000 0.5000
Tl2 0.0000 0.5000 0.7500
Tl3 0.5000 0.0000 0.2500
Tl4 0.5000 0.5000 0.0000
Ir1 0.1859 0.2500 0.1250
Ir2 0.2500 0.6859 0.3750
Ir3 0.2500 0.8141 0.8750
Ir4 0.3141 0.2500 0.6250
Ir5 0.6859 0.7500 0.6250
Ir6 0.7500 0.1859 0.8750
Ir7 0.7500 0.3141 0.3750
Ir8 0.8141 0.7500 0.1250

Summary:
symmetry = I-42d (122)
uncorrected energy = -81.39 eV for the cell shown
calculated density = 13.74 g/cm³
spin magnetization = 0.000 μB per cell
ΔE_f = 414 meV per atom